Material: Mn4Ni6F19
Method: DFT, PBE+U
State: optimized geometry

Results
- Calculated volume: 12.5 Å³ per atom
- Total DFT energy (no corrections): -4.967 eV per atom
- Total moment: 32.0 μB/cell

Cell: 7.782 7.782 7.782 Å, 109.47 109.47 109.47°
Positions (direct):
Mn 0.000 0.000 0.294
Mn 0.000 0.294 0.000
Mn 0.294 0.000 0.000
Mn 0.706 0.706 0.706
Ni 0.164 0.500 0.664
Ni 0.336 0.836 0.500
Ni 0.500 0.336 0.836
Ni 0.500 0.664 0.164
Ni 0.664 0.164 0.500
Ni 0.836 0.500 0.336
F 0.000 0.000 0.000
F 0.000 0.332 0.332
F 0.000 0.668 0.668
F 0.032 0.768 0.370
F 0.232 0.263 0.601
F 0.263 0.601 0.232
F 0.332 0.000 0.332
F 0.332 0.332 0.000
F 0.338 0.737 0.968
F 0.370 0.032 0.768
F 0.399 0.662 0.630
F 0.601 0.232 0.263
F 0.630 0.399 0.662
F 0.662 0.630 0.399
F 0.668 0.000 0.668
F 0.668 0.668 0.000
F 0.737 0.968 0.338
F 0.768 0.370 0.032
F 0.968 0.338 0.737

Material: MnNi2F8
Method: DFT, PBE+U
State: optimized geometry

Results
- Calculated volume: 13.2 Å³ per atom
- Total DFT energy (no corrections): -4.417 eV per atom
- Total moment: 5.0 μB/cell

Cell: 2.997 5.549 9.178 Å, 82.78 89.98 74.38°
Positions (direct):
Mn 0.000 0.000 0.000
Ni 0.220 0.562 0.351
Ni 0.780 0.438 0.649
F 0.059 0.882 0.194
F 0.211 0.578 0.746
F 0.351 0.296 0.537
F 0.389 0.213 0.028
F 0.611 0.787 0.972
F 0.649 0.704 0.463
F 0.789 0.422 0.254
F 0.941 0.118 0.806

Material: Mn2NiF6
Method: DFT, PBE+U
State: optimized geometry

Results
- Calculated volume: 12.9 Å³ per atom
- Total DFT energy (no corrections): -5.707 eV per atom
- Total moment: 24.0 μB/cell

Cell: 4.878 4.878 9.797 Å, 90.00 90.00 90.00°
Positions (direct):
Mn 0.000 0.000 0.166
Mn 0.000 0.000 0.834
Mn 0.500 0.500 0.334
Mn 0.500 0.500 0.666
Ni 0.000 0.000 0.500
Ni 0.500 0.500 0.000
F 0.191 0.191 0.340
F 0.191 0.191 0.660
F 0.205 0.205 0.000
F 0.295 0.705 0.500
F 0.309 0.691 0.160
F 0.309 0.691 0.840
F 0.691 0.309 0.160
F 0.691 0.309 0.840
F 0.705 0.295 0.500
F 0.795 0.795 0.000
F 0.809 0.809 0.340
F 0.809 0.809 0.660

Material: MnNiOF2
Method: DFT, PBE+U
State: optimized geometry

Results
- Calculated volume: 12.4 Å³ per atom
- Energy above the lowest structure with this stoichiometry: 195 meV/atom
- Total DFT energy (no corrections): -5.063 eV per atom
- Total moment: 5.4 μB/cell

Cell: 4.021 4.021 3.827 Å, 90.00 90.00 90.00°
Positions (direct):
Mn 0.000 0.000 0.000
Ni 0.500 0.500 0.500
O 0.000 0.000 0.500
F 0.000 0.500 0.000
F 0.500 0.000 0.000

Material: MnNiOF2
Method: DFT, PBE+U
State: optimized geometry

Results
- Calculated volume: 11.9 Å³ per atom
- Energy above the lowest structure with this stoichiometry: 0 meV/atom
- Total DFT energy (no corrections): -5.258 eV per atom
- Total moment: 7.0 μB/cell

Cell: 3.826 3.826 4.078 Å, 90.00 90.00 90.00°
Positions (direct):
Mn 0.000 0.000 0.000
Ni 0.500 0.500 0.500
O 0.500 0.500 0.000
F 0.000 0.500 0.500
F 0.500 0.000 0.500

Material: Rb2Mn3NiF12
Method: DFT, PBE+U
State: optimized geometry

Results
- Calculated volume: 15.4 Å³ per atom
- Total DFT energy (no corrections): -5.033 eV per atom
- Total moment: 9.0 μB/cell

Cell: 7.322 7.322 7.322 Å, 59.81 59.81 59.81°
Positions (direct):
Rb 0.124 0.124 0.124
Rb 0.876 0.876 0.876
Mn 0.000 0.500 0.500
Mn 0.500 0.000 0.500
Mn 0.500 0.500 0.000
Ni 0.500 0.500 0.500
F 0.169 0.575 0.575
F 0.181 0.181 0.578
F 0.181 0.578 0.181
F 0.422 0.819 0.819
F 0.425 0.425 0.831
F 0.425 0.831 0.425
F 0.575 0.169 0.575
F 0.575 0.575 0.169
F 0.578 0.181 0.181
F 0.819 0.422 0.819
F 0.819 0.819 0.422
F 0.831 0.425 0.425

Material: Rb2MnNiF6
Method: DFT, PBE+U
State: optimized geometry

Results
- Calculated volume: 14.9 Å³ per atom
- Total DFT energy (no corrections): -4.936 eV per atom
- Total moment: 3.0 μB/cell

Cell: 5.952 5.952 5.952 Å, 119.93 119.93 90.12°
Positions (direct):
Rb 0.250 0.750 0.500
Rb 0.750 0.250 0.500
Mn 0.000 0.000 0.000
Ni 0.500 0.500 0.000
F 0.255 0.255 0.000
F 0.256 0.256 0.512
F 0.256 0.744 0.000
F 0.744 0.256 0.000
F 0.744 0.744 0.488
F 0.745 0.745 0.000

Material: RbMnNiF2
Method: DFT, PBE+U
State: optimized geometry

Results
- Calculated volume: 20.2 Å³ per atom
- Total DFT energy (no corrections): -4.102 eV per atom
- Total moment: 6.0 μB/cell

Cell: 4.436 4.436 5.141 Å, 90.00 90.00 90.00°
Positions (direct):
Rb 0.000 0.000 0.000
Mn 0.500 0.500 0.500
Ni 0.500 0.500 0.000
F 0.000 0.500 0.500
F 0.500 0.000 0.500